Compound: Ga3CuTc
Source: Alexandria via LeMat-Bulk
Functional: SCAN
Structure: single point on PBEsol structure

ρ	6.99	g cm⁻³
energy of formation from the pure elements	0.759	eV per atom

Cell: 4.450 4.450 4.450 Å, 90.00 90.00 90.00°
Fractional positions:
1 Ga 0.000 0.000 0.500
2 Ga 0.000 0.500 0.000
3 Ga 0.500 0.000 0.000
4 Cu 0.000 0.000 0.000
5 Tc 0.500 0.500 0.500

=====

Compound: Be2BiOsBr
Source: Alexandria via LeMat-Bulk
Functional: SCAN
Structure: single point on PBEsol structure

E_tot	-167.85	eV for the cell shown
ρ	6.86	g cm⁻³

Cell: 4.674 4.674 5.507 Å, 90.00 90.00 90.00°
Fractional positions:
1 Be 0.000 0.500 0.000
2 Be 0.500 0.000 0.000
3 Bi 0.000 0.000 0.000
4 Os 0.500 0.500 0.500
5 Br 0.000 0.000 0.500

=====

Compound: TlAgSb2
Source: Alexandria via LeMat-Bulk
Functional: SCAN
Structure: single point on PBEsol structure

E_tot	-177.76	eV for the cell shown
ρ	9.13	g cm⁻³

Cell: 3.323 4.139 7.348 Å, 90.00 90.00 90.00°
Fractional positions:
1 Tl 0.000 0.000 0.000
2 Ag 0.000 0.000 0.500
3 Sb 0.500 0.500 0.299
4 Sb 0.500 0.500 0.701

=====

Compound: CrNiRh
Source: Alexandria via LeMat-Bulk
Functional: SCAN
Structure: single point on PBEsol structure

ρ	10.11	g cm⁻³
offset from the most stable computed form	0.00	eV/f.u.
energy of formation from the pure elements	-0.040	eV per atom

Cell: 2.577 3.550 7.670 Å, 90.00 90.00 90.00°
Fractional positions:
1 Cr 0.000 0.000 0.000
2 Cr 0.500 0.500 0.500
3 Ni 0.000 0.000 0.661
4 Ni 0.500 0.500 0.161
5 Rh 0.000 0.000 0.333
6 Rh 0.500 0.500 0.833